(1)
Compound: InAuSe2
Source: Alexandria via LeMat-Bulk
Functional: SCAN
Structure: single point on PBEsol structure

Its density is 8.7 g/cm3. As for the uncorrected formation energy: -0.188 eV per atom. Its total energy is -143.453 eV per formula unit. As for the symmetry: R3m, No. 160.

a = 4.092 Å, b = 4.092 Å, c = 6.605 Å
α = 71.95°, β = 71.95°, γ = 60.00°
Atoms (fractional coordinates):
Au1 0.492 0.492 0.523
In1 0.247 0.247 0.258
Se1 0.988 0.988 0.037
Se2 0.772 0.772 0.683

***

(2)
Compound: In3SiAu
Source: Alexandria via LeMat-Bulk
Functional: SCAN
Structure: single point on PBEsol structure

Its density is 6.8 g/cm3. As for the uncorrected formation energy: 0.518 eV per atom. Its total energy is -176.743 eV per formula unit. As for the symmetry: Pm-3m, No. 221.

a = 5.185 Å, b = 5.185 Å, c = 5.185 Å
α = 90.00°, β = 90.00°, γ = 90.00°
Atoms (fractional coordinates):
Si1 0.500 0.500 0.500
Au1 0.000 0.000 0.000
In1 0.000 0.500 0.000
In2 0.000 0.000 0.500
In3 0.500 0.000 0.000

***

(3)
Compound: Sm2InAu2
Source: Alexandria via LeMat-Bulk
Functional: SCAN
Structure: single point on PBEsol structure

Its density is 11.4 g/cm3. Its total energy is -265.675 eV per formula unit. The calculation puts the formation enthalpy at 0 K at -1.0181 eV per atom. As for the symmetry: P4/mbm, No. 127.

a = 3.796 Å, b = 7.894 Å, c = 7.894 Å
α = 90.00°, β = 90.00°, γ = 90.00°
Atoms (fractional coordinates):
Au1 0.000 0.128 0.628
Au2 0.000 0.628 0.872
Au3 0.000 0.372 0.128
Au4 0.000 0.872 0.372
Sm1 0.500 0.829 0.671
Sm2 0.500 0.329 0.829
Sm3 0.500 0.171 0.329
Sm4 0.500 0.671 0.171
In1 0.000 0.500 0.500
In2 0.000 0.000 0.000

***

(4)
Compound: In3SnAu12
Source: Alexandria via LeMat-Bulk
Functional: SCAN
Structure: single point on PBEsol structure

Its density is 16.4 g/cm3. Its total energy is -967.719 eV per formula unit. The calculation puts the formation enthalpy at 0 K at -0.1097 eV per atom. As for the symmetry: Pmm2, No. 25.

a = 4.695 Å, b = 5.104 Å, c = 11.971 Å
α = 90.00°, β = 90.00°, γ = 90.00°
Atoms (fractional coordinates):
In1 0.500 0.672 0.500
In2 0.000 0.332 0.251
In3 0.000 0.332 0.749
Sn1 0.500 0.667 0.000
Au1 0.000 0.323 0.000
Au2 0.000 0.341 0.500
Au3 0.500 0.664 0.253
Au4 0.500 0.664 0.747
Au5 0.500 0.168 0.376
Au6 0.500 0.164 0.871
Au7 0.500 0.164 0.129
Au8 0.500 0.168 0.624
Au9 0.000 0.840 0.377
Au10 0.000 0.831 0.873
Au11 0.000 0.831 0.127
Au12 0.000 0.840 0.623